First-principles (GGA-PBE) data for a relaxed LiAl3Fe crystal, as listed in Alexandria via LeMat-Bulk.

Summary:
theoretical density	2.6	g/cm³
E	-4.416	eV/atom
M_tot	0.00	μB/cell
symmetry	Pm-3m, No. 221
formation enthalpy at 0 K	-95	meV/atom

abc: 4.508 4.508 4.508
angles: 90.00 90.00 90.00
Atoms (fractional coordinates):
Li1 0.000 0.000 0.000
Al1 0.000 0.500 0.500
Al2 0.500 0.000 0.500
Al3 0.500 0.500 0.000
Fe1 0.500 0.500 0.500